*one*
DFT (PBE-GGA) results for a relaxed structure of TcSbRu.

Cell lengths 4.317, 4.317, 4.317 Å; angles 60.00, 60.00, 60.00 degrees
Sites, in units of the cell vectors:
Tc1 0.000 0.000 0.000
Sb1 0.750 0.750 0.750
Ru1 0.250 0.250 0.250

Properties
For the magnetization, the calculation gives 0.0 μB/cell. The space group is F-43m.

*two*
DFT (PBE-GGA) results for a relaxed structure of TcSbRu.

Cell lengths 4.803, 4.803, 4.803 Å; angles 143.63, 130.72, 62.77 degrees
Sites, in units of the cell vectors:
Tc1 0.000 0.000 0.000
Sb1 0.326 0.326 0.000
Ru1 0.651 0.651 0.000

Properties
For the magnetization, the calculation gives 0.0 μB/cell. The space group is Imm2.

*three*
DFT (PBE-GGA) results for a relaxed structure of TcSbRu.

Cell lengths 5.993, 5.993, 5.993 Å; angles 151.09, 151.09, 41.35 degrees
Sites, in units of the cell vectors:
Tc1 0.000 0.000 0.000
Sb1 0.321 0.321 0.000
Ru1 0.640 0.640 0.000

Properties
For the magnetization, the calculation gives 0.0 μB/cell. The space group is I4mm.

Tell me which of them is the most stable. Sure, it is *three*.

*one*
DFT (PBE-GGA) results for a relaxed structure of TlSb2TeRu.

Cell lengths 5.604, 5.604, 5.703 Å; angles 90.00, 90.00, 90.00 degrees
Sites, in units of the cell vectors:
Tl1 0.000 0.000 0.000
Sb1 0.000 0.500 0.000
Sb2 0.500 0.000 0.000
Te1 0.000 0.000 0.500
Ru1 0.500 0.500 0.500

Properties
For the magnetization, the calculation gives 2.2 μB/cell. The space group is P4/mmm.

*two*
DFT (PBE-GGA) results for a relaxed structure of TlSb2TeRu.

Cell lengths 5.041, 5.041, 5.926 Å; angles 90.00, 90.00, 90.00 degrees
Sites, in units of the cell vectors:
Tl1 0.000 0.000 0.000
Sb1 0.000 0.500 0.500
Sb2 0.500 0.000 0.500
Te1 0.500 0.500 0.000
Ru1 0.500 0.500 0.500

Properties
For the magnetization, the calculation gives 0.0 μB/cell. The space group is P4/mmm.

Tell me which of them is the most stable. Sure, it is *two*.

*one*
DFT (PBE-GGA) results for a relaxed structure of YSbTe2Ru.

Cell lengths 5.750, 5.750, 5.791 Å; angles 90.00, 90.00, 90.00 degrees
Sites, in units of the cell vectors:
Y1 0.000 0.000 0.000
Sb1 0.000 0.000 0.500
Te1 0.000 0.500 0.000
Te2 0.500 0.000 0.000
Ru1 0.500 0.500 0.500

Properties
For the magnetization, the calculation gives 2.4 μB/cell. The space group is P4/mmm.

*two*
DFT (PBE-GGA) results for a relaxed structure of YSbTe2Ru.

Cell lengths 5.437, 5.437, 4.863 Å; angles 90.00, 90.00, 90.00 degrees
Sites, in units of the cell vectors:
Y1 0.000 0.000 0.000
Sb1 0.500 0.500 0.000
Te1 0.000 0.500 0.500
Te2 0.500 0.000 0.500
Ru1 0.500 0.500 0.500

Properties
For the magnetization, the calculation gives 0.0 μB/cell. The space group is P4/mmm.

Tell me which of them is the most stable. Sure, it is *two*.

*one*
DFT (PBE-GGA) results for a relaxed structure of ZnSb2TeRu.

Cell lengths 5.075, 5.075, 5.238 Å; angles 90.00, 90.00, 90.00 degrees
Sites, in units of the cell vectors:
Zn1 0.000 0.000 0.000
Sb1 0.000 0.500 0.000
Sb2 0.500 0.000 0.000
Te1 0.000 0.000 0.500
Ru1 0.500 0.500 0.500

Properties
For the magnetization, the calculation gives 1.7 μB/cell. The space group is P4/mmm.

*two*
DFT (PBE-GGA) results for a relaxed structure of ZnSb2TeRu.

Cell lengths 4.986, 4.986, 5.756 Å; angles 90.00, 90.00, 90.00 degrees
Sites, in units of the cell vectors:
Zn1 0.000 0.000 0.000
Sb1 0.000 0.500 0.500
Sb2 0.500 0.000 0.500
Te1 0.500 0.500 0.000
Ru1 0.500 0.500 0.500

Properties
For the magnetization, the calculation gives 0.0 μB/cell. The space group is P4/mmm.

Tell me which of them is the most stable. Sure, it is *two*.

*one*
DFT (PBE-GGA) results for a relaxed structure of Th3Sb2Ru.

Cell lengths 7.740, 7.740, 7.740 Å; angles 148.43, 131.75, 58.80 degrees
Sites, in units of the cell vectors:
Th1 0.000 0.000 0.000
Th2 0.362 0.362 0.000
Th3 0.638 0.638 0.000
Sb1 0.179 0.679 0.500
Sb2 0.821 0.321 0.500
Ru1 0.500 0.000 0.500

Properties
For the magnetization, the calculation gives 0.0 μB/cell. The space group is Immm.

*two*
DFT (PBE-GGA) results for a relaxed structure of Th3Sb2Ru.

Cell lengths 12.709, 4.366, 12.042 Å; angles 90.00, 90.00, 90.00 degrees
Sites, in units of the cell vectors:
Th1 0.052 0.250 0.122
Th2 0.120 0.750 0.548
Th3 0.240 0.250 0.783
Th4 0.260 0.750 0.283
Th5 0.380 0.250 0.048
Th6 0.448 0.750 0.622
Th7 0.552 0.250 0.378
Th8 0.620 0.750 0.952
Th9 0.740 0.250 0.717
Th10 0.760 0.750 0.217
Th11 0.880 0.250 0.452
Th12 0.948 0.750 0.878
Sb1 0.002 0.750 0.303
Sb2 0.190 0.750 0.994
Sb3 0.310 0.250 0.494
Sb4 0.498 0.250 0.803
Sb5 0.502 0.750 0.197
Sb6 0.690 0.750 0.506
Sb7 0.810 0.250 0.006
Sb8 0.998 0.250 0.697
Ru1 0.124 0.250 0.368
Ru2 0.376 0.750 0.868
Ru3 0.624 0.250 0.132
Ru4 0.876 0.750 0.632

Properties
For the magnetization, the calculation gives 0.0 μB/cell. The space group is Pnma.

Tell me which of them is the most stable. Sure, it is *two*.

*one*
DFT (PBE-GGA) results for a relaxed structure of Th3SbRu.

Cell lengths 4.425, 10.912, 6.329 Å; angles 90.00, 110.38, 90.00 degrees
Sites, in units of the cell vectors:
Th1 0.038 0.250 0.077
Th2 0.350 0.046 0.700
Th3 0.350 0.454 0.700
Th4 0.650 0.546 0.300
Th5 0.650 0.954 0.300
Th6 0.962 0.750 0.923
Sb1 0.251 0.750 0.502
Sb2 0.749 0.250 0.498
Ru1 0.000 0.000 0.000
Ru2 0.000 0.500 0.000

Properties
For the magnetization, the calculation gives 0.0 μB/cell. The space group is P2_1/m.

*two*
DFT (PBE-GGA) results for a relaxed structure of Th3SbRu.

Cell lengths 8.613, 4.431, 15.009 Å; angles 90.00, 90.00, 90.00 degrees
Sites, in units of the cell vectors:
Th1 0.027 0.250 0.106
Th2 0.147 0.250 0.509
Th3 0.188 0.750 0.279
Th4 0.312 0.250 0.779
Th5 0.353 0.750 0.009
Th6 0.473 0.750 0.606
Th7 0.527 0.250 0.394
Th8 0.647 0.250 0.991
Th9 0.688 0.750 0.221
Th10 0.812 0.250 0.721
Th11 0.853 0.750 0.491
Th12 0.973 0.750 0.894
Sb1 0.090 0.750 0.677
Sb2 0.410 0.250 0.177
Sb3 0.590 0.750 0.823
Sb4 0.910 0.250 0.323
Ru1 0.182 0.250 0.938
Ru2 0.318 0.750 0.438
Ru3 0.682 0.250 0.562
Ru4 0.818 0.750 0.062

Properties
For the magnetization, the calculation gives 0.0 μB/cell. The space group is Pnma.

Tell me which of them is the most stable. Sure, it is *two*.